Compound: PaPPdO
Source: the Open Quantum Materials Database
Functional: PBE-GGA
Structure: optimized geometry

E above lowest polymorph = 30.3 kJ/mol of atoms

Unit cell a=4.663 b=4.262 c=6.824 alpha=90.00 beta=90.00 gamma=90.00
Space group Pmc2_1 (No. 26)
Asymmetric unit:
Pa1 0.000 0.209 0.000
P1 0.500 0.194 0.697
Pd1 0.500 0.310 0.354
O1 0.000 0.291 0.340

---

Compound: SrGaCo
Source: the Open Quantum Materials Database
Functional: PBE-GGA
Structure: optimized geometry

E = -3.682 eV/atom

Unit cell a=6.481 b=6.481 c=6.481 alpha=90.00 beta=90.00 gamma=90.00
Space group F-43m (No. 216)
Asymmetric unit:
Sr1 0.000 0.000 0.000
Ga1 0.000 0.000 0.500
Co1 0.250 0.250 0.750

---

Compound: KBaPbAu
Source: the Open Quantum Materials Database
Functional: PBE-GGA
Structure: optimized geometry

E above lowest polymorph = 3.9 kJ/mol of atoms

Unit cell a=8.279 b=8.279 c=8.279 alpha=90.00 beta=90.00 gamma=90.00
Space group F-43m (No. 216)
Asymmetric unit:
K1 0.000 0.000 0.000
Ba1 0.000 0.000 0.500
Pb1 0.250 0.250 0.750
Au1 0.250 0.250 0.250

---

Compound: NbAgTeO
Source: the Open Quantum Materials Database
Functional: PBE-GGA
Structure: optimized geometry

E above lowest polymorph = 2.4 kJ/mol of atoms

Unit cell a=3.408 b=8.894 c=5.848 alpha=90.00 beta=90.00 gamma=90.00
Space group Pmc2_1 (No. 26)
Asymmetric unit:
Nb1 0.000 0.127 0.000
Ag1 0.500 0.347 0.718
Te1 0.500 0.323 0.227
O1 0.000 0.044 0.685

---

Compound: LiTaIn2Cl6
Source: the Open Quantum Materials Database
Functional: PBE-GGA
Structure: optimized geometry

E = -4.091 eV/atom

Unit cell a=7.033 b=7.023 c=12.205 alpha=90.00 beta=125.05 gamma=90.00
Space group P2_1/c (No. 14)
Asymmetric unit:
Li1 0.000 0.000 0.000
Ta1 0.500 0.000 0.500
In1 0.257 0.041 0.750
Cl1 0.204 0.505 0.755
Cl2 0.247 0.711 0.026
Cl3 0.314 0.221 0.025

---

Compound: NaScGePd
Source: the Open Quantum Materials Database
Functional: PBE-GGA
Structure: optimized geometry

E above lowest polymorph = 5.7 kJ/mol of atoms

Unit cell a=6.674 b=6.674 c=6.674 alpha=90.00 beta=90.00 gamma=90.00
Space group F-43m (No. 216)
Asymmetric unit:
Na1 0.000 0.000 0.000
Sc1 0.000 0.000 0.500
Ge1 0.250 0.250 0.750
Pd1 0.250 0.250 0.250

---

Compound: NdHfPb
Source: the Open Quantum Materials Database
Functional: PBE-GGA
Structure: optimized geometry

E above lowest polymorph = 0.0 kJ/mol of atoms

Unit cell a=7.153 b=7.153 c=7.153 alpha=90.00 beta=90.00 gamma=90.00
Space group F-43m (No. 216)
Asymmetric unit:
Nd1 0.000 0.000 0.000
Hf1 0.000 0.000 0.500
Pb1 0.250 0.250 0.750

---

Compound: Ho2CSe4
Source: the Open Quantum Materials Database
Functional: PBE-GGA
Structure: optimized geometry

E = -5.178 eV/atom

Unit cell a=4.426 b=4.426 c=15.005 alpha=90.00 beta=90.00 gamma=90.00
Space group I4/mmm (No. 139)
Asymmetric unit:
Ho1 0.000 0.000 0.132
C1 0.000 0.000 0.500
Se1 0.000 0.000 0.325
Se2 0.000 0.500 0.000